--- i ---
Computed, not measured: a relaxed structure of SmDy8Ho2 at the PBE level of DFT.

Summary:
- Density of states at the Fermi level: 28.925 states/eV per cell
- Size of the total moment: 0.000 μB/atom

Cell lengths 18.080, 5.008, 7.934 Å; angles 90.00, 105.30, 90.00 degrees
Space group C2/m (No. 12)
Asymmetric unit:
Sm 0.000 0.000 0.000 x2
Dy 0.046 0.500 0.727 x4
Dy 0.091 0.000 0.456 x4
Dy 0.137 0.500 0.183 x4
Dy 0.182 0.000 0.909 x4
Ho 0.228 0.500 0.636 x4

***

--- ii ---
Computed, not measured: a relaxed structure of SmDy8Ho2 at the PBE level of DFT.

Summary:
- Density of states at the Fermi level: 31.119 states/eV per cell
- Size of the total moment: 0.000 μB/atom

Cell lengths 5.503, 8.099, 15.861 Å; angles 90.00, 90.00, 90.00 degrees
Space group Immm (No. 71)
Asymmetric unit:
Sm 0.000 0.000 0.000 x2
Dy 0.000 0.205 0.500 x4
Dy 0.000 0.293 0.139 x8
Dy 0.000 0.500 0.337 x4
Ho 0.000 0.000 0.300 x4

***

Most favorable structure: i. The second most favorable one is 97 meV per atom above it.

***

--- i ---
Computed, not measured: a relaxed structure of Sm6DyHo2 at the PBE level of DFT.

Summary:
- Density of states at the Fermi level: 27.543 states/eV per cell
- Size of the total moment: 0.043 μB/atom

Cell lengths 13.107, 7.568, 6.113 Å; angles 90.00, 90.00, 90.00 degrees
Space group C2/m (No. 12)
Asymmetric unit:
Sm 0.095 0.217 0.290 x8
Sm 0.188 0.500 0.711 x4
Dy 0.000 0.500 0.000 x2
Ho 0.167 0.000 0.785 x4

***

--- ii ---
Computed, not measured: a relaxed structure of Sm6DyHo2 at the PBE level of DFT.

Summary:
- Density of states at the Fermi level: 12.798 states/eV per cell
- Size of the total moment: 0.000 μB/atom

Cell lengths 3.598, 8.809, 9.503 Å; angles 90.13, 100.89, 90.09 degrees
Space group P-1 (No. 2)
Asymmetric unit:
Sm 0.109 0.166 0.219 x2
Sm 0.222 0.834 0.442 x2
Sm 0.334 0.501 0.669 x2
Dy 0.000 0.500 0.000 x1
Ho 0.445 0.168 0.890 x2

***

Most favorable structure: ii. The second most favorable one is 186 meV per atom above it.

***

--- i ---
Computed, not measured: a relaxed structure of SmDyHoTh at the PBE level of DFT.

Summary:
- Density of states at the Fermi level: 33.869 states/eV per cell
- Size of the total moment: 0.000 μB/atom

Cell lengths 8.033, 8.033, 8.033 Å; angles 90.00, 90.00, 90.00 degrees
Space group F-43m (No. 216)
Asymmetric unit:
Sm 0.000 0.000 0.000 x4
Dy 0.250 0.250 0.750 x4
Ho 0.250 0.250 0.250 x4
Th 0.000 0.000 0.500 x4

***

--- ii ---
Computed, not measured: a relaxed structure of SmDyHoTh at the PBE level of DFT.

Summary:
- Density of states at the Fermi level: 18.672 states/eV per cell
- Size of the total moment: 0.000 μB/atom

Cell lengths 3.5920, 3.5920, 34.4938 Å; angles 90.00, 90.00, 120.00 degrees
Space group R3m (No. 160, hexagonal axes)
Asymmetric unit:
Sm 0.0000 0.0000 0.0000 x3
Dy 0.0000 0.0000 0.7517 x3
Ho 0.0000 0.0000 0.5810 x3
Th 0.0000 0.0000 0.1663 x3

***

Most favorable structure: ii. The second most favorable one is 135 meV per atom above it.

***

--- i ---
Computed, not measured: a relaxed structure of SmDyYHo at the PBE level of DFT.

Summary:
- Density of states at the Fermi level: 37.284 states/eV per cell
- Size of the total moment: 0.000 μB/atom

Cell lengths 8.046, 8.046, 8.046 Å; angles 90.00, 90.00, 90.00 degrees
Space group F-43m (No. 216)
Asymmetric unit:
Sm 0.000 0.000 0.000 x4
Dy 0.000 0.000 0.500 x4
Y 0.250 0.250 0.750 x4
Ho 0.250 0.250 0.250 x4

***

--- ii ---
Computed, not measured: a relaxed structure of SmDyYHo at the PBE level of DFT.

Summary:
- Density of states at the Fermi level: 11.636 states/eV per cell
- Size of the total moment: 0.000 μB/atom

Cell lengths 5.048, 5.048, 10.070 Å; angles 90.00, 90.00, 90.00 degrees
Space group I-4m2 (No. 119)
Asymmetric unit:
Sm 0.000 0.000 0.000 x2
Dy 0.000 0.500 0.250 x2
Y 0.000 0.500 0.750 x2
Ho 0.000 0.000 0.500 x2

***

Most favorable structure: ii. The second most favorable one is 114 meV per atom above it.